An optimized crystal structure of PmGe3Pd5. Source: Alexandria, functional PBE.

Output
N(E_F) = 3.9 states/eV/f.u.
Formation energy from the elements = -0.612 eV per atom

Cell lengths 3.885, 13.123, 12.921 Å; angles 90.00, 90.00, 90.00 degrees
Space group Cmcm (No. 63)
Symmetry-distinct sites (fractional):
Pm  0.000  0.138  0.250 x4
Ge  0.000  0.122  0.750 x4
Ge  0.000  0.381  0.543 x8
Pd  0.000  0.000  0.000 x4
Pd  0.000  0.202  0.574 x8
Pd  0.000  0.451  0.146 x8